# MnNi2Ir PBEsol optimized geometry
data_MnNi2Ir
_chemical_formula_sum 'Mn4 Ni8 Ir4'
_cell_length_a 5.753
_cell_length_b 5.753
_cell_length_c 5.753
_cell_angle_alpha 90.00
_cell_angle_beta 90.00
_cell_angle_gamma 90.00
_space_group_name_H-M_alt 'F m -3 m'
_space_group_IT_number 225
_space_group_name_Hall '-F 4 2 3'
loop_
_atom_site_label
_atom_site_type_symbol
_atom_site_fract_x
_atom_site_fract_y
_atom_site_fract_z
_atom_site_occupancy
Mn1 Mn 0.000 0.000 0.000 1
Ni1 Ni 0.250 0.250 0.250 1
Ir1 Ir 0.000 0.000 0.500 1
# **ΔE_f**: 130.4 meV per atom
# **DOS at the Fermi energy**: 23.0 states/eV/cell
# **V**: 190.45 Å³ per cell

---

# MnNiIr2Os PBEsol optimized geometry
data_MnNiIr2Os
_chemical_formula_sum 'Mn1 Ni1 Ir2 Os1'
_cell_length_a 4.674
_cell_length_b 4.674
_cell_length_c 4.430
_cell_angle_alpha 90.00
_cell_angle_beta 90.00
_cell_angle_gamma 90.00
_space_group_name_H-M_alt 'P 4/m m m'
_space_group_IT_number 123
_space_group_name_Hall '-P 4 2'
loop_
_atom_site_label
_atom_site_type_symbol
_atom_site_fract_x
_atom_site_fract_y
_atom_site_fract_z
_atom_site_occupancy
Mn1 Mn 0.000 0.000 0.000 1
Ni1 Ni 0.500 0.500 0.000 1
Ir1 Ir 0.000 0.500 0.500 1
Os1 Os 0.500 0.500 0.500 1
# **ΔE_f**: 1770.8 meV per atom
# **DOS at the Fermi energy**: 5.4 states/eV/cell
# **V**: 96.78 Å³ per cell

---

Number 1: total moment 2.7 μB per formula unit. Number 2: total moment 4.6 μB per formula unit.